(P)
Entry from Alexandria via LeMat-Bulk: an optimized crystal structure of Pm12Pr6Ho (GGA-PBE).

Cell lengths 10.0155, 10.0155, 10.0155 Å; angles 112.31, 112.31, 112.31 degrees
Fractional coordinates of all 19 atoms:
Pm: 0.8785 0.1215 0.5000
Pm: 0.2653 0.9060 0.2653
Pm: 0.2653 0.2653 0.9060
Pm: 0.0940 0.7347 0.7347
Pm: 0.7347 0.7347 0.0940
Pm: 0.7347 0.0940 0.7347
Pm: 0.5000 0.8785 0.1215
Pm: 0.1215 0.5000 0.8785
Pm: 0.1215 0.8785 0.5000
Pm: 0.5000 0.1215 0.8785
Pm: 0.8785 0.5000 0.1215
Pm: 0.9060 0.2653 0.2653
Pr: 0.7321 0.4761 0.7321
Pr: 0.7321 0.7321 0.4761
Pr: 0.4761 0.7321 0.7321
Pr: 0.2679 0.2679 0.5239
Pr: 0.2679 0.5239 0.2679
Pr: 0.5239 0.2679 0.2679
Ho: 0.0000 0.0000 0.0000

N(E_F): 32.11 states/eV/cell

---

(Q)
Entry from Alexandria via LeMat-Bulk: an optimized crystal structure of Pm12Pr6Ho (GGA-PBE).

Cell lengths 8.7538, 8.7538, 8.7538 Å; angles 89.38, 89.38, 89.38 degrees
Fractional coordinates of all 19 atoms:
Pm: 0.7788 0.5351 0.4365
Pm: 0.4365 0.7788 0.5351
Pm: 0.5351 0.4365 0.7788
Pm: 0.2212 0.4649 0.5635
Pm: 0.5635 0.2212 0.4649
Pm: 0.4649 0.5635 0.2212
Pm: 0.0178 0.1931 0.3589
Pm: 0.8069 0.6411 0.9822
Pm: 0.6411 0.9822 0.8069
Pm: 0.9822 0.8069 0.6411
Pm: 0.1931 0.3589 0.0178
Pm: 0.3589 0.0178 0.1931
Pr: 0.7373 0.9060 0.3026
Pr: 0.6974 0.2627 0.0940
Pr: 0.0940 0.6974 0.2627
Pr: 0.2627 0.0940 0.6974
Pr: 0.3026 0.7373 0.9060
Pr: 0.9060 0.3026 0.7373
Ho: 0.0000 0.0000 0.0000

N(E_F): 30.37 states/eV/cell

---

Stability order, top to bottom: (Q), (P)

---

(P)
Entry from Alexandria via LeMat-Bulk: an optimized crystal structure of Pm2Pr7Ho (GGA-PBE).

Cell lengths 3.5732, 10.4760, 10.4760 Å; angles 108.80, 90.00, 90.00 degrees
Fractional coordinates of all 10 atoms:
Pm: 0.5000 0.8324 0.1676
Pm: 0.5000 0.1676 0.8324
Pr: 0.0000 0.6781 0.3219
Pr: 0.0000 0.3219 0.6781
Pr: 0.5000 0.1275 0.3808
Pr: 0.5000 0.8725 0.6192
Pr: 0.5000 0.3808 0.1275
Pr: 0.5000 0.6192 0.8725
Pr: 0.5000 0.5000 0.5000
Ho: 0.0000 0.0000 0.0000

N(E_F): 14.76 states/eV/cell

---

(Q)
Entry from Alexandria via LeMat-Bulk: an optimized crystal structure of Pm2Pr7Ho (GGA-PBE).

Cell lengths 5.5656, 9.5888, 9.5888 Å; angles 124.93, 90.00, 90.00 degrees
Fractional coordinates of all 10 atoms:
Pm: 0.5000 0.7047 0.2953
Pm: 0.5000 0.2953 0.7047
Pr: 0.0000 0.7835 0.2165
Pr: 0.0000 0.2165 0.7835
Pr: 0.5000 0.0702 0.2916
Pr: 0.5000 0.9298 0.7084
Pr: 0.5000 0.2916 0.0703
Pr: 0.5000 0.7084 0.9298
Pr: 0.5000 0.5000 0.5000
Ho: 0.0000 0.0000 0.0000

N(E_F): 15.86 states/eV/cell

---

Stability order, top to bottom: (P), (Q)

---

(P)
Entry from Alexandria via LeMat-Bulk: an optimized crystal structure of Pm8Pr2Ho3 (GGA-PBE).

Cell lengths 5.6806, 7.7076, 11.1026 Å; angles 110.31, 90.01, 90.00 degrees
Fractional coordinates of all 13 atoms:
Pm: 0.0003 0.6674 0.3348
Pm: 0.9997 0.3326 0.6652
Pm: 0.9997 0.1290 0.2579
Pm: 0.0003 0.8710 0.7421
Pm: 0.5000 0.6025 0.7929
Pm: 0.5000 0.1904 0.7929
Pm: 0.5000 0.8096 0.2071
Pm: 0.5000 0.3975 0.2071
Pr: 0.4994 0.2402 0.4803
Pr: 0.5006 0.7598 0.5197
Ho: 0.5000 0.0000 0.0000
Ho: 0.0000 0.2856 0.0000
Ho: 0.0000 0.7144 0.0000

N(E_F): 20.64 states/eV/cell

---

(Q)
Entry from Alexandria via LeMat-Bulk: an optimized crystal structure of Pm8Pr2Ho3 (GGA-PBE).

Cell lengths 6.2908, 6.2835, 11.4925 Å; angles 79.48, 90.04, 99.59 degrees
Fractional coordinates of all 13 atoms:
Pm: 0.0798 0.4605 0.1505
Pm: 0.9202 0.5395 0.8495
Pm: 0.1566 0.9229 0.3033
Pm: 0.8434 0.0771 0.6967
Pm: 0.3078 0.8468 0.6190
Pm: 0.3812 0.3075 0.7740
Pm: 0.6188 0.6925 0.2260
Pm: 0.6922 0.1532 0.3810
Pr: 0.7695 0.6163 0.5396
Pr: 0.2305 0.3837 0.4604
Ho: 0.0000 0.0000 0.0000
Ho: 0.5392 0.2296 0.0749
Ho: 0.4608 0.7704 0.9251

N(E_F): 20.08 states/eV/cell

---

Stability order, top to bottom: (Q), (P)

---

(P)
Entry from Alexandria via LeMat-Bulk: an optimized crystal structure of Pm6Pr4Ho (GGA-PBE).

Cell lengths 9.6863, 9.6863, 9.6863 Å; angles 59.96, 138.62, 138.62 degrees
Fractional coordinates of all 11 atoms:
Pm: 0.0000 0.7909 0.4454
Pm: 0.0000 0.4454 0.7909
Pm: 0.3455 0.5546 0.5546
Pm: 0.5000 0.5000 0.0000
Pm: 0.6545 0.2091 0.2091
Pm: 0.5000 0.0000 0.5000
Pr: 0.0000 0.6329 0.0123
Pr: 0.3794 0.3671 0.3671
Pr: 0.0000 0.0123 0.6329
Pr: 0.6206 0.9877 0.9877
Ho: 0.0000 0.0000 0.0000

N(E_F): 15.98 states/eV/cell

---

(Q)
Entry from Alexandria via LeMat-Bulk: an optimized crystal structure of Pm6Pr4Ho (GGA-PBE).

Cell lengths 7.6587, 7.6587, 8.7364 Å; angles 116.00, 116.00, 90.00 degrees
Fractional coordinates of all 11 atoms:
Pm: 0.9104 0.4625 0.3729
Pm: 0.4625 0.9104 0.3729
Pm: 0.5375 0.5375 0.6271
Pm: 0.0000 0.5000 0.0000
Pm: 0.0896 0.0896 0.6271
Pm: 0.5000 0.0000 0.0000
Pr: 0.0934 0.7445 0.8379
Pr: 0.9066 0.9066 0.1621
Pr: 0.7445 0.0934 0.8379
Pr: 0.2555 0.2555 0.1621
Ho: 0.5000 0.5000 0.0000

N(E_F): 13.03 states/eV/cell

---

Stability order, top to bottom: (P), (Q)

---

(P)
Entry from Alexandria via LeMat-Bulk: an optimized crystal structure of Pm5Pr12Ho2 (GGA-PBE).

Cell lengths 8.1386, 9.4517, 9.4517 Å; angles 69.57, 87.18, 87.18 degrees
Fractional coordinates of all 19 atoms:
Pm: 0.5187 0.2417 0.2417
Pm: 0.0897 0.3432 0.3432
Pm: 0.5000 0.0000 0.0000
Pm: 0.9103 0.6568 0.6568
Pm: 0.4813 0.7583 0.7583
Pr: 0.8978 0.1296 0.1296
Pr: 0.7929 0.0400 0.5884
Pr: 0.7929 0.5884 0.0400
Pr: 0.3868 0.1684 0.6190
Pr: 0.3868 0.6190 0.1684
Pr: 0.7111 0.4474 0.4474
Pr: 0.2889 0.5526 0.5526
Pr: 0.6132 0.8316 0.3810
Pr: 0.6132 0.3810 0.8316
Pr: 0.2071 0.9600 0.4116
Pr: 0.2071 0.4116 0.9600
Pr: 0.1022 0.8704 0.8704
Ho: 0.0000 0.7313 0.2687
Ho: 0.0000 0.2687 0.7313

N(E_F): 27.22 states/eV/cell

---

(Q)
Entry from Alexandria via LeMat-Bulk: an optimized crystal structure of Pm5Pr12Ho2 (GGA-PBE).

Cell lengths 7.5740, 10.3970, 10.2370 Å; angles 66.49, 90.00, 111.36 degrees
Fractional coordinates of all 19 atoms:
Pm: 0.1757 0.3514 0.8290
Pm: 0.3230 0.6459 0.1981
Pm: 0.0000 0.0000 0.5000
Pm: 0.6770 0.3541 0.8019
Pm: 0.8243 0.6486 0.1710
Pr: 0.9910 0.9820 0.2167
Pr: 0.0899 0.6806 0.8516
Pr: 0.5906 0.6806 0.8516
Pr: 0.0753 0.6678 0.5022
Pr: 0.5926 0.6678 0.5022
Pr: 0.5075 0.0151 0.6741
Pr: 0.4925 0.9849 0.3259
Pr: 0.9247 0.3322 0.4978
Pr: 0.4074 0.3322 0.4978
Pr: 0.9101 0.3194 0.1484
Pr: 0.4094 0.3194 0.1484
Pr: 0.0090 0.0180 0.7833
Ho: 0.7022 0.0000 0.0000
Ho: 0.2978 0.0000 0.0000

N(E_F): 30.83 states/eV/cell

---

Stability order, top to bottom: (P), (Q)

---

(P)
Entry from Alexandria via LeMat-Bulk: an optimized crystal structure of TbPmPrHo (GGA-PBE).

Cell lengths 5.7458, 5.7458, 5.7458 Å; angles 60.00, 60.00, 60.00 degrees
Fractional coordinates of all 4 atoms:
Pr: 0.2500 0.2500 0.2500
Tb: 0.0000 0.0000 0.0000
Ho: 0.5000 0.5000 0.5000
Pm: 0.7500 0.7500 0.7500

N(E_F): 7.95 states/eV/cell

---

(Q)
Entry from Alexandria via LeMat-Bulk: an optimized crystal structure of TbPmPrHo (GGA-PBE).

Cell lengths 5.1144, 5.1163, 6.2528 Å; angles 114.15, 114.14, 90.00 degrees
Fractional coordinates of all 4 atoms:
Tb: 0.4456 0.4456 0.8912
Pm: 0.9454 0.9454 0.8909
Pr: 0.6956 0.1956 0.3912
Ho: 0.1955 0.6955 0.3911

N(E_F): 5.67 states/eV/cell

---

Stability order, top to bottom: (Q), (P)